No. 1
Compound: Y4IrBr5
Source: the Alexandria database
Functional: PBE-GGA
Structure: optimized geometry

a b c (Å): 9.6408 9.6408 8.5268
angles (deg): 102.45 102.45 24.02
Closest atoms and distances in Å follow each position.
Fractional coordinates of all 10 atoms:
Y 0.0034 0.0034 0.2164  2 Ir 2.72
Y 0.3514 0.3514 0.9220  1 Ir 2.73, 4 Br 2.91-2.97
Y 0.6486 0.6486 0.0780  1 Ir 2.73, 4 Br 2.91-2.97
Y 0.9966 0.9966 0.7836  2 Ir 2.72
Ir 0.5000 0.5000 0.0000  6 Y 2.72-2.73
Br 0.1703 0.1703 0.3314  3 Y 2.91-3.08
Br 0.1790 0.1790 0.8450  3 Y 2.97-3.17
Br 0.5000 0.5000 0.5000  4 Y 3.15
Br 0.8210 0.8210 0.1550  3 Y 2.97-3.17
Br 0.8297 0.8297 0.6686  3 Y 2.91-3.08

space-group type = No. 12
electronic total energy = -5.778 eV/atom
uncorrected formation energy = -1469.9 meV/atom

=====

No. 2
Compound: YIrBr2
Source: the Alexandria database
Functional: PBE-GGA
Structure: optimized geometry

a b c (Å): 7.5514 7.5514 7.5514
angles (deg): 152.21 147.73 43.10
Closest atoms and distances in Å follow each position.
Fractional coordinates of all 4 atoms:
Y 0.0000 0.0000 0.0000  2 Ir 2.68, 2 Br 2.94
Ir 0.8598 0.3598 0.5000  2 Y 2.68, 4 Br 2.78
Br 0.3531 0.8531 0.5000  4 Ir 2.78, 2 Y 2.94
Br 0.6044 0.6044 0.0000  4 Y 3.14

space-group type = No. 44
electronic total energy = -5.237 eV/atom
uncorrected formation energy = -569.6 meV/atom
energy above the most stable polymorph in this dataset = 1.07 eV per formula unit

=====

No. 3
Compound: YIrBr2
Source: the Alexandria database
Functional: PBE-GGA
Structure: optimized geometry

a b c (Å): 5.0010 5.0010 5.0010
angles (deg): 60.00 60.00 60.00
Closest atoms and distances in Å follow each position.
Fractional coordinates of all 4 atoms:
Y 0.0000 0.0000 0.0000  4 Ir 3.06, 4 Br 3.06
Ir 0.7500 0.7500 0.7500  4 Y 3.06, 4 Br 3.06
Br 0.2500 0.2500 0.2500  4 Br 3.06, 4 Y 3.06
Br 0.5000 0.5000 0.5000  4 Br 3.06, 4 Ir 3.06

space-group type = No. 216
electronic total energy = -4.708 eV/atom
uncorrected formation energy = -39.9 meV/atom
energy above the most stable polymorph in this dataset = 3.19 eV per formula unit

=====

No. 4
Compound: YIrBr2
Source: the Alexandria database
Functional: PBE-GGA
Structure: optimized geometry

a b c (Å): 3.8415 3.8415 7.2466
angles (deg): 90.00 90.00 90.00
Closest atoms and distances in Å follow each position.
Fractional coordinates of all 4 atoms:
Y 0.0000 0.0000 0.0000  1 Br 2.78, 4 Ir 2.87
Ir 0.5000 0.5000 0.8726  1 Br 2.48
Br 0.0000 0.0000 0.6158  1 Y 2.78
Br 0.5000 0.5000 0.2142  1 Ir 2.48

space-group type = No. 99
electronic total energy = -5.226 eV/atom
uncorrected formation energy = -558.5 meV/atom
energy above the most stable polymorph in this dataset = 1.11 eV per formula unit

=====

| no. | N(E_F) (states/eV/cell) |
| --- | --- |
| 1 | 5.3 |
| 2 | 1.2 |
| 3 | 6.7 |
| 4 | 0.2 |